*1*
{"formula": "Tb2Tm2Zn", "functional": "PBE", "state": "relaxed", "space_group": "I4_1/amd", "lattice_angstrom": [[4.948, 0.000, 0.000], [0.000, 4.948, 0.000], [-2.474, -2.474, 11.941]], "species": ["Tm", "Tm", "Tm", "Tm", "Zn", "Zn", "Tb", "Tb", "Tb", "Tb"], "fractional_positions": [[0.569, 0.069, 0.139], [0.819, 0.819, 0.639], [0.931, 0.431, 0.861], [0.181, 0.181, 0.361], [0.500, 0.500, 0.000], [0.250, 0.750, 0.500], [0.426, 0.926, 0.851], [0.324, 0.324, 0.649], [0.676, 0.676, 0.351], [0.074, 0.574, 0.149]]}



*2*
{"formula": "Tb2Tm2Zn", "functional": "PBE", "state": "relaxed", "space_group": "I4/mmm", "lattice_angstrom": [[-3.126, 1.370, 0.850], [-0.672, 0.579, -3.404], [-2.746, -11.074, 0.475]], "species": ["Tb", "Tb", "Tm", "Tm", "Zn"], "fractional_positions": [[0.807, 0.807, 0.613], [0.193, 0.193, 0.387], [0.422, 0.422, 0.843], [0.578, 0.578, 0.157], [0.000, 0.000, 0.000]]}



Here are the energies relative to the best structure, in kJ/mol of atoms: *1* 13.3; *2* 0.0.



*1*
{"formula": "TbTm6Zr2", "functional": "PBE", "state": "relaxed", "space_group": "C2/m", "lattice_angstrom": [[-2.784, -2.057, 0.720], [0.339, -1.250, 6.418], [-6.977, 8.314, 5.457]], "species": ["Tb", "Tm", "Tm", "Tm", "Tm", "Tm", "Tm", "Zr", "Zr"], "fractional_positions": [[0.000, 0.000, 0.000], [0.024, 0.656, 0.297], [0.711, 0.464, 0.113], [0.351, 0.768, 0.530], [0.289, 0.536, 0.887], [0.976, 0.344, 0.703], [0.649, 0.232, 0.470], [0.676, 0.911, 0.736], [0.324, 0.089, 0.264]]}



*2*
{"formula": "TbTm6Zr2", "functional": "PBE", "state": "relaxed", "space_group": "P-6m2", "lattice_angstrom": [[-3.198, 0.195, 1.327], [1.406, -3.094, -0.687], [9.568, -0.799, 23.177]], "species": ["Tm", "Tm", "Tm", "Tm", "Tm", "Tm", "Zr", "Zr", "Tb"], "fractional_positions": [[0.333, 0.667, 0.567], [0.333, 0.667, 0.433], [0.333, 0.667, 0.773], [0.333, 0.667, 0.227], [0.667, 0.333, 0.886], [0.667, 0.333, 0.114], [0.667, 0.333, 0.332], [0.667, 0.333, 0.668], [0.333, 0.667, 0.000]]}



Here are the energies relative to the best structure, in kJ/mol of atoms: *1* 3.5; *2* 0.0.



*1*
{"formula": "Tb2Tm8Zr", "functional": "PBE", "state": "relaxed", "space_group": "C2/m", "lattice_angstrom": [[-0.476, 3.349, 4.167], [-7.618, 1.326, -1.937], [1.757, -8.215, 3.347]], "species": ["Tm", "Tm", "Tm", "Tm", "Tm", "Tm", "Tm", "Tm", "Tb", "Tb", "Zr"], "fractional_positions": [[0.010, 0.724, 0.020], [0.842, 0.817, 0.684], [0.158, 0.183, 0.316], [0.622, 0.426, 0.244], [0.352, 0.125, 0.703], [0.378, 0.574, 0.756], [0.990, 0.276, 0.980], [0.648, 0.875, 0.297], [0.201, 0.675, 0.402], [0.799, 0.325, 0.598], [0.500, 0.000, 0.000]]}



*2*
{"formula": "Tb2Tm8Zr", "functional": "PBE", "state": "relaxed", "space_group": "C2/m", "lattice_angstrom": [[4.730, 0.000, -1.260], [-0.520, 7.499, -1.954], [-0.087, -0.017, 9.185]], "species": ["Tm", "Tm", "Tm", "Tm", "Tm", "Tm", "Tm", "Tm", "Tb", "Tb", "Zr"], "fractional_positions": [[0.869, 0.826, 0.737], [0.678, 0.910, 0.357], [0.044, 0.737, 0.088], [0.131, 0.174, 0.263], [0.322, 0.090, 0.643], [0.411, 0.556, 0.823], [0.589, 0.444, 0.177], [0.956, 0.263, 0.912], [0.773, 0.365, 0.547], [0.227, 0.635, 0.453], [0.500, 0.000, 0.000]]}



Here are the energies relative to the best structure, in kJ/mol of atoms: *1* 7.5; *2* 0.0.



*1*
{"formula": "Tb7Tm12Zr", "functional": "PBE", "state": "relaxed", "space_group": "R-3", "lattice_angstrom": [[8.364, 1.081, 1.622], [-1.287, 8.334, 1.622], [-1.287, -1.713, 8.316]], "species": ["Tm", "Tm", "Tm", "Tm", "Tm", "Tm", "Tm", "Tm", "Tm", "Tm", "Tm", "Tm", "Tb", "Tb", "Tb", "Tb", "Tb", "Tb", "Tb", "Zr"], "fractional_positions": [[0.121, 0.343, 0.454], [0.879, 0.657, 0.546], [0.241, 0.783, 0.372], [0.628, 0.759, 0.217], [0.217, 0.628, 0.759], [0.546, 0.879, 0.657], [0.372, 0.241, 0.783], [0.657, 0.546, 0.879], [0.343, 0.454, 0.121], [0.759, 0.217, 0.628], [0.454, 0.121, 0.343], [0.783, 0.372, 0.241], [0.341, 0.896, 0.002], [0.002, 0.341, 0.896], [0.896, 0.002, 0.341], [0.104, 0.998, 0.659], [0.998, 0.659, 0.104], [0.659, 0.104, 0.998], [0.500, 0.500, 0.500], [0.000, 0.000, 0.000]]}



*2*
{"formula": "Tb7Tm12Zr", "functional": "PBE", "state": "relaxed", "space_group": "Im-3m", "lattice_angstrom": [[9.160, 0.000, -3.239], [-4.580, 7.933, -3.239], [0.000, 0.000, 9.716]], "species": ["Tm", "Tm", "Tm", "Tm", "Tm", "Tm", "Tm", "Tm", "Tm", "Tm", "Tm", "Tm", "Tb", "Tb", "Tb", "Tb", "Tb", "Tb", "Tb", "Zr"], "fractional_positions": [[0.217, 0.782, 0.999], [0.783, 0.782, 0.565], [0.782, 0.999, 0.217], [0.999, 0.217, 0.782], [0.217, 0.218, 0.435], [0.001, 0.783, 0.218], [0.218, 0.435, 0.217], [0.218, 0.001, 0.783], [0.782, 0.565, 0.783], [0.435, 0.217, 0.218], [0.783, 0.218, 0.001], [0.565, 0.783, 0.782], [0.500, 0.500, 0.500], [0.000, 0.000, 0.500], [0.500, 0.000, 0.500], [0.500, 0.500, 0.000], [0.000, 0.500, 0.500], [0.500, 0.000, 0.000], [0.000, 0.500, 0.000], [0.000, 0.000, 0.000]]}



Here are the energies relative to the best structure, in kJ/mol of atoms: *1* 0.0; *2* 50.2.



*1*
{"formula": "Tb6Tm12Zr", "functional": "PBE", "state": "relaxed", "space_group": "R-3", "lattice_angstrom": [[8.372, 0.460, 0.551], [-0.815, 8.345, 0.551], [-0.815, -0.949, 8.309]], "species": ["Tb", "Tb", "Tb", "Tb", "Tb", "Tb", "Zr", "Tm", "Tm", "Tm", "Tm", "Tm", "Tm", "Tm", "Tm", "Tm", "Tm", "Tm", "Tm"], "fractional_positions": [[0.739, 0.274, 0.120], [0.274, 0.120, 0.739], [0.726, 0.880, 0.261], [0.880, 0.261, 0.726], [0.120, 0.739, 0.274], [0.261, 0.726, 0.880], [0.000, 0.000, 0.000], [0.366, 0.051, 0.145], [0.790, 0.529, 0.465], [0.949, 0.855, 0.634], [0.634, 0.949, 0.855], [0.535, 0.210, 0.471], [0.210, 0.471, 0.535], [0.471, 0.535, 0.210], [0.465, 0.790, 0.529], [0.145, 0.366, 0.051], [0.529, 0.465, 0.790], [0.855, 0.634, 0.949], [0.051, 0.145, 0.366]]}



*2*
{"formula": "Tb6Tm12Zr", "functional": "PBE", "state": "relaxed", "space_group": "R-3m", "lattice_angstrom": [[8.461, -0.149, -1.162], [-1.312, 8.360, -1.162], [-0.130, -0.149, 8.539]], "species": ["Tb", "Tb", "Tb", "Tb", "Tb", "Tb", "Tm", "Tm", "Tm", "Tm", "Tm", "Tm", "Tm", "Tm", "Tm", "Tm", "Tm", "Tm", "Zr"], "fractional_positions": [[0.096, 0.096, 0.664], [0.904, 0.336, 0.904], [0.336, 0.904, 0.904], [0.096, 0.664, 0.096], [0.904, 0.904, 0.336], [0.664, 0.096, 0.096], [0.650, 0.919, 0.650], [0.755, 0.245, 0.500], [0.350, 0.350, 0.081], [0.500, 0.245, 0.755], [0.245, 0.755, 0.500], [0.245, 0.500, 0.755], [0.650, 0.650, 0.919], [0.500, 0.755, 0.245], [0.081, 0.350, 0.350], [0.755, 0.500, 0.245], [0.919, 0.650, 0.650], [0.350, 0.081, 0.350], [0.000, 0.000, 0.000]]}



Here are the energies relative to the best structure, in kJ/mol of atoms: *1* 0.0; *2* 7.1.



*1*
{"formula": "Tb2VZn", "functional": "PBE", "state": "relaxed", "space_group": "R-3m", "lattice_angstrom": [[3.282, 0.000, 0.000], [1.641, 2.842, 0.000], [1.641, 0.947, 10.579]], "species": ["Tb", "Tb", "V", "Zn"], "fractional_positions": [[0.909, 0.909, 0.273], [0.091, 0.091, 0.727], [0.000, 0.000, 0.000], [0.500, 0.500, 0.500]]}



*2*
{"formula": "Tb2VZn", "functional": "PBE", "state": "relaxed", "space_group": "P4/mmm", "lattice_angstrom": [[-0.186, 2.545, 2.614], [-3.910, -2.402, 2.062], [3.155, -2.693, 2.847]], "species": ["Zn", "V", "Tb", "Tb"], "fractional_positions": [[0.500, 0.500, 0.500], [0.500, 0.000, 0.000], [0.000, 0.000, 0.500], [0.000, 0.500, 0.000]]}



Here are the energies relative to the best structure, in kJ/mol of atoms: *1* 50.8; *2* 0.0.



*1*
{"formula": "TbY4", "functional": "PBE", "state": "relaxed", "space_group": "Pm-3m", "lattice_angstrom": [[5.640, 0.000, 0.000], [0.000, 5.640, 0.000], [0.000, 0.000, 5.640]], "species": ["Y", "Y", "Y", "Y", "Tb"], "fractional_positions": [[0.000, 0.000, 0.000], [0.000, 0.500, 0.500], [0.500, 0.500, 0.000], [0.500, 0.000, 0.500], [0.500, 0.500, 0.500]]}



*2*
{"formula": "TbY4", "functional": "PBE", "state": "relaxed", "space_group": "Cmmm", "lattice_angstrom": [[7.057, 0.000, 0.000], [3.529, 5.413, 0.710], [3.529, 1.615, 8.675]], "species": ["Y", "Y", "Y", "Y", "Y", "Y", "Y", "Y", "Tb", "Tb"], "fractional_positions": [[0.850, 0.199, 0.601], [0.350, 0.199, 0.601], [0.805, 0.609, 0.782], [0.195, 0.391, 0.218], [0.304, 0.609, 0.782], [0.696, 0.391, 0.218], [0.650, 0.801, 0.399], [0.150, 0.801, 0.399], [0.250, 0.000, 0.000], [0.750, 0.000, 0.000]]}



*3*
{"formula": "TbY4", "functional": "PBE", "state": "relaxed", "space_group": "C2/m", "lattice_angstrom": [[-2.670, 2.361, -0.211], [-2.224, -0.068, -2.792], [-10.297, -8.446, 6.170]], "species": ["Y", "Y", "Y", "Y", "Tb"], "fractional_positions": [[0.601, 0.601, 0.199], [0.399, 0.399, 0.801], [0.200, 0.200, 0.400], [0.800, 0.800, 0.600], [0.000, 0.000, 0.000]]}



Here are the energies relative to the best structure, in kJ/mol of atoms: *1* 63.6; *2* 2.5; *3* 0.0.



*1*
{"formula": "TbY7", "functional": "PBE", "state": "relaxed", "space_group": "Fm-3m", "lattice_angstrom": [[-4.647, -0.302, 5.407], [-3.316, -6.134, 1.516], [1.668, -3.583, 5.941]], "species": ["Y", "Y", "Y", "Y", "Y", "Y", "Y", "Tb"], "fractional_positions": [[0.500, 0.500, 0.500], [0.000, 0.500, 0.500], [0.500, 0.000, 0.000], [0.500, 0.500, 0.000], [0.500, 0.000, 0.500], [0.000, 0.500, 0.000], [0.000, 0.000, 0.500], [0.000, 0.000, 0.000]]}



*2*
{"formula": "TbY7", "functional": "PBE", "state": "relaxed", "space_group": "Immm", "lattice_angstrom": [[3.371, 0.002, 1.075], [1.211, 8.470, 2.017], [-0.927, -0.228, 8.739]], "species": ["Y", "Y", "Y", "Y", "Y", "Y", "Y", "Tb"], "fractional_positions": [[0.000, 0.500, 0.500], [0.740, 0.759, 0.759], [0.260, 0.241, 0.241], [0.367, 0.864, 0.401], [0.633, 0.599, 0.136], [0.367, 0.401, 0.864], [0.633, 0.136, 0.599], [0.000, 0.000, 0.000]]}



Here are the energies relative to the best structure, in kJ/mol of atoms: *1* 0.0; *2* 1.3.



*1*
{"formula": "Tb7Y5", "functional": "PBE", "state": "relaxed", "space_group": "C2/m", "lattice_angstrom": [[-2.687, -2.213, 0.833], [0.715, -6.382, -6.964], [6.537, -9.153, 4.459]], "species": ["Y", "Y", "Y", "Y", "Y", "Tb", "Tb", "Tb", "Tb", "Tb", "Tb", "Tb"], "fractional_positions": [[0.166, 0.167, 0.501], [0.305, 0.639, 0.751], [0.695, 0.361, 0.249], [0.834, 0.833, 0.499], [0.000, 0.000, 0.000], [0.027, 0.695, 0.250], [0.973, 0.305, 0.750], [0.361, 0.028, 0.250], [0.666, 0.667, 0.001], [0.639, 0.972, 0.750], [0.500, 0.500, 0.500], [0.334, 0.333, 0.999]]}



*2*
{"formula": "Tb7Y5", "functional": "PBE", "state": "relaxed", "space_group": "C2/m", "lattice_angstrom": [[5.721, 0.000, 0.000], [-2.861, 4.803, -0.270], [0.000, -2.514, 14.466]], "species": ["Tb", "Tb", "Tb", "Tb", "Tb", "Tb", "Tb", "Y", "Y", "Y", "Y", "Y"], "fractional_positions": [[0.238, 0.477, 0.673], [0.685, 0.370, 0.082], [0.500, 0.000, 0.500], [0.762, 0.523, 0.327], [0.045, 0.091, 0.212], [0.315, 0.630, 0.918], [0.955, 0.909, 0.788], [0.378, 0.757, 0.197], [0.000, 0.000, 0.000], [0.144, 0.287, 0.439], [0.622, 0.243, 0.803], [0.856, 0.713, 0.561]]}



Here are the energies relative to the best structure, in kJ/mol of atoms: *1* 0.0; *2* 18.0.



*1*
{"formula": "Tb7Y2", "functional": "PBE", "state": "relaxed", "space_group": "P-31m", "lattice_angstrom": [[6.171, 0.000, 0.000], [-3.086, 5.344, 0.000], [0.000, 0.000, 8.720]], "species": ["Tb", "Tb", "Tb", "Tb", "Tb", "Tb", "Tb", "Y", "Y"], "fractional_positions": [[0.000, 0.667, 0.334], [0.667, 0.000, 0.334], [0.333, 0.000, 0.666], [0.333, 0.333, 0.334], [0.000, 0.000, 0.000], [0.667, 0.667, 0.666], [0.000, 0.333, 0.666], [0.667, 0.333, 0.000], [0.333, 0.667, 0.000]]}



*2*
{"formula": "Tb7Y2", "functional": "PBE", "state": "relaxed", "space_group": "P-62m", "lattice_angstrom": [[-0.582, -2.670, -2.234], [1.757, -6.365, 7.147], [-9.050, 3.239, -1.514]], "species": ["Tb", "Tb", "Tb", "Tb", "Tb", "Tb", "Tb", "Y", "Y"], "fractional_positions": [[0.500, 0.639, 0.000], [0.000, 0.000, 0.303], [0.000, 0.303, 0.000], [0.000, 0.697, 0.697], [0.500, 0.361, 0.361], [0.500, 0.000, 0.639], [0.500, 0.000, 0.000], [0.000, 0.333, 0.667], [0.000, 0.667, 0.333]]}



Here are the energies relative to the best structure, in kJ/mol of atoms: *1* 0.0; *2* 2.2.